# LaSiF3 (GGA-PBE, relaxed)
data_LaSiF3
_chemical_formula_sum 'La1 Si1 F3'
_cell_length_a 4.3995
_cell_length_b 4.3995
_cell_length_c 4.3995
_cell_angle_alpha 90.00
_cell_angle_beta 90.00
_cell_angle_gamma 90.00
_space_group_name_H-M_alt 'P m -3 m'
_space_group_IT_number 221
_space_group_name_Hall '-P 4 2 3'
loop_
_atom_site_label
_atom_site_type_symbol
_atom_site_fract_x
_atom_site_fract_y
_atom_site_fract_z
_atom_site_occupancy
La1 La 0.0000 0.0000 0.0000 1
Si1 Si 0.5000 0.5000 0.5000 1
F1 F 0.0000 0.5000 0.5000 1
# - formation energy without anion corrections (meV/atom) = -1726.1
# - offset from the most stable computed form (meV/atom) = 660
# - magnetization (μB per cell) = 1.5
# - N(E_F) (states/eV/f.u.) = 3.005

# La2SiF (GGA-PBE, relaxed)
data_La2SiF
_chemical_formula_sum 'La8 Si4 F4'
_cell_length_a 5.9517
_cell_length_b 5.9287
_cell_length_c 12.9806
_cell_angle_alpha 90.00
_cell_angle_beta 116.74
_cell_angle_gamma 90.00
_space_group_name_H-M_alt 'P 1 2/c 1'
_space_group_IT_number 13
loop_
_space_group_symop_operation_xyz
'x,y,z'
'-x,-y,-z'
'-x,y,-z+1/2'
'x,-y,z+1/2'
loop_
_atom_site_label
_atom_site_type_symbol
_atom_site_fract_x
_atom_site_fract_y
_atom_site_fract_z
_atom_site_occupancy
La1 La 0.1177 0.2307 0.1209 1
La2 La 0.3465 0.2455 0.8712 1
Si1 Si 0.3783 0.2527 0.3749 1
F1 F 0.0834 0.2128 0.6237 1
# - formation energy without anion corrections (meV/atom) = -1613.9
# - offset from the most stable computed form (meV/atom) = 18
# - magnetization (μB per cell) = 0.0
# - N(E_F) (states/eV/f.u.) = 1.555

Final energy? In order: -24.6; -23.6 eV/f.u..